(1)
Density functional theory data (PBE) for a geometry-optimized Ti5Re4Au structure.

The space group is P4/mmm (No. 123) and the conventional cell measures 3.1492, 3.1492 and 15.7051 Å, with angles of 90.00, 90.00 and 90.00 degrees. The distinct sites, in fractional coordinates, are Ti at (0.0000, 0.0000, 0.0000), Ti at (0.0000, 0.0000, 0.1959), Ti at (0.0000, 0.0000, 0.3867), Re at (0.5000, 0.5000, 0.0986), Re at (0.5000, 0.5000, 0.2977) and Au at (0.5000, 0.5000, 0.5000).

The density of states at the Fermi level comes out at 0.73 states/eV per atom. The calculation puts the formation energy at -425.3 meV/atom. For the energy, the calculation gives -96.80 eV/f.u.



(2)
Density functional theory data (PBE) for a geometry-optimized TiAlNiAg structure.

The space group is F-43m (No. 216) and the conventional cell measures 6.1937, 6.1937 and 6.1937 Å, with angles of 90.00, 90.00 and 90.00 degrees. The distinct sites, in fractional coordinates, are Ti at (0.0000, 0.0000, 0.0000), Al at (0.0000, 0.0000, 0.5000), Ni at (0.2500, 0.2500, 0.7500) and Ag at (0.2500, 0.2500, 0.2500).

The density of states at the Fermi level comes out at 0.62 states/eV per atom. The calculation puts the formation energy at -275.9 meV/atom. For the energy, the calculation gives -21.37 eV/f.u.